Entry from Alexandria: crystalline HIrPt2 at its relaxed geometry (GGA-PBE).

Cell: 4.271 4.271 4.271 Å, 60.00 60.00 60.00°
Fractional positions:
Pt 0.250 0.250 0.250
Pt 0.750 0.750 0.750
Ir 0.500 0.500 0.500
H 0.000 0.000 0.000

Values from the calculation:
The calculation puts the volume at 13.8 Å³ per atom. The density of states at the Fermi level comes out at 1.1604 states/eV per atom. The value obtained for the relative energy among the computed polymorphs is 1.63 eV/f.u. The symmetry is Fm-3m (225).